(1)
# LaHNF2, optimized geometry, DFT PBE
# Theoretical density, g cm⁻³: 6.1
# Electronic total energy, eV/atom: -5.4331
# Distance to the lowest polymorph of the same formula, eV/atom: 0.000
data_LaHNF2
_symmetry_space_group_name_H-M 'P 4/m m m'
_symmetry_Int_Tables_number 123
_symmetry_space_group_name_Hall '-P 4 2'
_cell_length_a 3.854
_cell_length_b 3.854
_cell_length_c 3.529
_cell_angle_alpha 90.00
_cell_angle_beta 90.00
_cell_angle_gamma 90.00
loop_
_atom_site_label
_atom_site_type_symbol
_atom_site_fract_x
_atom_site_fract_y
_atom_site_fract_z
_atom_site_occupancy
La1 La 0.000 0.000 0.000 1
H1 H 0.500 0.500 0.500 1
N1 N 0.500 0.500 0.000 1
F1 F 0.000 0.500 0.500 1



(2)
# AlCdTe2, optimized geometry, DFT PBE
# Theoretical density, g cm⁻³: 6.4
# Uncorrected formation energy, meV per atom: 88
# Electronic total energy, eV/atom: -2.6473
# Distance to the lowest polymorph of the same formula, eV/atom: 0.388
data_AlCdTe2
_symmetry_space_group_name_H-M 'P 4/m m m'
_symmetry_Int_Tables_number 123
_symmetry_space_group_name_Hall '-P 4 2'
_cell_length_a 3.668
_cell_length_b 3.668
_cell_length_c 7.561
_cell_angle_alpha 90.00
_cell_angle_beta 90.00
_cell_angle_gamma 90.00
loop_
_atom_site_label
_atom_site_type_symbol
_atom_site_fract_x
_atom_site_fract_y
_atom_site_fract_z
_atom_site_occupancy
Al1 Al 0.000 0.000 0.000 1
Cd1 Cd 0.000 0.000 0.500 1
Te1 Te 0.500 0.500 0.228 1